A plane-wave DFT calculation with PBE was carried out for YAgSn2As after structural relaxation.

Output
Space group ... P4/mmm
Mass density ... 5.9 g cm⁻³
D(E_F) ... 0.815 states/eV per atom
Energy of formation ... 0.24 eV/atom

a = 5.460 Å, b = 4.811 Å, c = 5.460 Å
α = 90.00°, β = 90.00°, γ = 90.00°
Fractional positions:
Ag1 0.000 0.500 0.000
Sn1 0.500 0.000 0.000
As1 0.000 0.000 0.000
Sn2 0.000 0.000 0.500
Y1 0.500 0.500 0.500